Entry from Alexandria: crystalline Pr6Tl5In at its relaxed geometry (GGA-PBE).

Cell: 7.719 7.719 6.891 Å, 98.34 98.34 99.09°
Fractional coordinates of all 12 atoms:
1 Pr 0.084 0.415 0.249
2 Pr 0.250 0.250 0.753
3 Pr 0.415 0.084 0.249
4 Pr 0.585 0.916 0.751
5 Pr 0.750 0.750 0.247
6 Pr 0.916 0.585 0.751
7 Tl 0.166 0.834 0.500
8 Tl 0.332 0.668 0.000
9 Tl 0.500 0.500 0.500
10 Tl 0.668 0.332 0.000
11 Tl 0.834 0.166 0.500
12 In 0.000 0.000 0.000

Properties
Size of the total moment ... 0.00 Bohr magnetons per cell
E_form ... -270 meV per atom
Volume ... 395.2 Å³/cell
Density ... 8.33 g/cm³
E above lowest polymorph ... 1.68 eV per formula unit